# SrHN

A geometry-optimized SrHN structure (PBE-GGA, the Alexandria database).

a = 6.7715 Å, b = 6.8543 Å, c = 3.5913 Å
α = 90.00°, β = 90.00°, γ = 90.00°
Closest atoms and distances in Å follow each position.
Sites, in units of the cell vectors:
N (0.3324, 0.2500, 0.9963)  1 H 1.05
N (0.8324, 0.2500, 0.5037)  1 H 1.05
N (0.6676, 0.7500, 0.0037)  1 H 1.05
N (0.1676, 0.7500, 0.4963)  1 H 1.05
Sr (0.5000, 0.5000, 0.5000)  4 H 2.55-2.59, 6 N 2.72-2.83
Sr (0.0000, 0.0000, 0.0000)  4 H 2.55-2.59, 6 N 2.72-2.83
Sr (0.0000, 0.5000, 0.0000)  4 H 2.55-2.59, 6 N 2.72-2.83
Sr (0.5000, 0.0000, 0.5000)  4 H 2.55-2.59, 6 N 2.72-2.83
H (0.2452, 0.7500, 0.7478)  1 N 1.05
H (0.2548, 0.2500, 0.2478)  1 N 1.05
H (0.7548, 0.2500, 0.2522)  1 N 1.05
H (0.7452, 0.7500, 0.7522)  1 N 1.05

**Size of the total moment**: 0.00 μB per cell
**Raw total energy**: -5.09 eV/atom
**Fermi-level density of states**: 0.0 states/eV/f.u.

# NdCu3Ge3

A geometry-optimized NdCu3Ge3 structure (PBE-GGA, the Alexandria database).

a = 6.1607 Å, b = 6.1607 Å, c = 8.5284 Å
α = 68.83°, β = 68.83°, γ = 60.00°
Closest atoms and distances in Å follow each position.
Sites, in units of the cell vectors:
Cu (0.5863, 0.7645, 0.5808)  4 Ge 2.48-2.73, 5 Cu 2.56-2.60
Cu (0.2355, 0.9316, 0.4192)  4 Ge 2.48-2.73, 5 Cu 2.56-2.60
Cu (0.9316, 0.4137, 0.4192)  4 Ge 2.48-2.73, 5 Cu 2.56-2.60
Cu (0.0684, 0.5863, 0.5808)  4 Ge 2.48-2.73, 5 Cu 2.56-2.60
Cu (0.4137, 0.2355, 0.4192)  4 Ge 2.48-2.73, 5 Cu 2.56-2.60
Cu (0.7645, 0.0684, 0.5808)  4 Ge 2.48-2.73, 5 Cu 2.56-2.60
Ge (0.7992, 0.2941, 0.7538)  4 Cu 2.48-2.73, 2 Ge 2.72
Ge (0.2008, 0.7059, 0.2462)  4 Cu 2.48-2.73, 2 Ge 2.72
Ge (0.1530, 0.7992, 0.7538)  4 Cu 2.48-2.73, 2 Ge 2.72
Ge (0.2941, 0.1530, 0.7538)  4 Cu 2.48-2.73, 2 Ge 2.72
Ge (0.7059, 0.8470, 0.2462)  4 Cu 2.48-2.73, 2 Ge 2.72
Ge (0.8470, 0.2008, 0.2462)  4 Cu 2.48-2.73, 2 Ge 2.72
Nd (0.3132, 0.3132, 0.0604)  6 Ge 3.02-3.17, 3 Cu 3.16
Nd (0.6868, 0.6868, 0.9396)  6 Ge 3.02-3.17, 3 Cu 3.16

**Size of the total moment**: 0.00 μB per cell
**Raw total energy**: -4.57 eV/atom
**Fermi-level density of states**: 1.9 states/eV/f.u.
**Energy above the most stable polymorph in this dataset**: 0 meV per atom

# LaV3In

A geometry-optimized LaV3In structure (PBE-GGA, the Alexandria database).

a = 5.1082 Å, b = 5.1082 Å, c = 5.1082 Å
α = 90.00°, β = 90.00°, γ = 90.00°
Closest atoms and distances in Å follow each position.
Sites, in units of the cell vectors:
V (0.0000, 0.0000, 0.5000)  2 In 2.55
V (0.0000, 0.5000, 0.0000)  2 In 2.55
V (0.5000, 0.0000, 0.0000)  2 In 2.55
La (0.5000, 0.5000, 0.5000)  12 V 3.61
In (0.0000, 0.0000, 0.0000)  6 V 2.55

**Size of the total moment**: 9.96 μB per cell
**Raw total energy**: -5.82 eV/atom
**Fermi-level density of states**: 5.8 states/eV/f.u.
**Energy above the most stable polymorph in this dataset**: 0 meV per atom

# Tl2TeAsSe4

A geometry-optimized Tl2TeAsSe4 structure (PBE-GGA, the Alexandria database).

a = 8.4306 Å, b = 8.4306 Å, c = 8.2517 Å
α = 117.07°, β = 117.07°, γ = 90.10°
Closest atoms and distances in Å follow each position.
Sites, in units of the cell vectors:
Se (0.2195, 0.6951, 0.4447)  2 As 2.79-2.81, 1 Te 2.87
Se (0.8049, 0.2805, 0.0553)  2 As 2.79-2.81, 1 Te 2.87
Se (0.7805, 0.3049, 0.5553)  2 As 2.79-2.81, 1 Te 2.87
Se (0.2505, 0.2880, 0.5094)  1 As 2.77, 1 Te 2.81
Se (0.7880, 0.7505, 0.0094)  1 As 2.77, 1 Te 2.81
Se (0.2120, 0.2495, 0.9906)  1 As 2.77, 1 Te 2.81
Se (0.1951, 0.7195, 0.9447)  2 As 2.79-2.81, 1 Te 2.87
Se (0.7495, 0.7120, 0.4906)  1 As 2.77, 1 Te 2.81
Tl (0.5000, 0.5000, 0.0000)  6 Se 3.11-3.17
Tl (0.5000, 0.0000, 0.0000)  6 Se 3.21-3.55
Tl (0.0000, 0.0000, 0.5000)  6 Se 3.11-3.17
Tl (0.5000, 0.0000, 0.5000)  6 Se 3.21-3.55
As (0.0000, 0.5000, 0.0000)  6 Se 2.77-2.81
As (0.0000, 0.5000, 0.5000)  6 Se 2.77-2.81
Te (0.0000, 0.0000, 0.0000)  4 Se 2.81-2.87
Te (0.5000, 0.5000, 0.5000)  4 Se 2.81-2.87

**Size of the total moment**: 0.00 μB per cell
**Formation energy without anion corrections**: -0.153 eV per atom
**Raw total energy**: -3.46 eV/atom
**Fermi-level density of states**: 1.6 states/eV/f.u.

# ZnCrP2

A geometry-optimized ZnCrP2 structure (PBE-GGA, the Alexandria database).

a = 6.3964 Å, b = 6.3964 Å, c = 3.3912 Å
α = 89.93°, β = 89.93°, γ = 26.00°
Closest atoms and distances in Å follow each position.
Sites, in units of the cell vectors:
Cr (0.2979, 0.2979, 0.1255)  6 P 2.30-2.40
Zn (0.5347, 0.5347, 0.6240)  5 P 2.39-2.51
P (0.7260, 0.7260, 0.6259)  1 Zn 2.39, 4 Cr 2.40
P (0.9414, 0.9414, 0.1246)  2 Cr 2.30, 4 Zn 2.51

**Size of the total moment**: 0.00 μB per cell
**Raw total energy**: -5.50 eV/atom
**Fermi-level density of states**: 2.5 states/eV/f.u.

# NaLaHW2

A geometry-optimized NaLaHW2 structure (PBE-GGA, the Alexandria database).

a = 4.6193 Å, b = 4.6193 Å, c = 5.6424 Å
α = 90.00°, β = 90.00°, γ = 90.00°
Closest atoms and distances in Å follow each position.
Sites, in units of the cell vectors:
H (0.5000, 0.5000, 0.5000)  4 La 3.27, 8 W 3.65
La (0.0000, 0.0000, 0.5000)  2 Na 2.82
W (0.5000, 0.0000, 0.0000)  2 Na 2.31
W (0.0000, 0.5000, 0.0000)  2 Na 2.31
Na (0.0000, 0.0000, 0.0000)  4 W 2.31

**Size of the total moment**: 0.00 μB per cell
**Raw total energy**: -4.23 eV/atom
**Fermi-level density of states**: 4.8 states/eV/f.u.